No. 1
4
Lattice="-0.390 -1.411 -3.113 3.084 -1.497 0.292 -3.356 -6.275 3.265" Properties=species:S:1:pos:R:3 comment="SrIn2Pt | Alexandria | SCAN | single point on PBEsol structure" m_tot_mub_per_cell=0.00 space_group="P4/mmm, No. 123" e_form_mev_per_atom=-497 pbc="T T T"
In -2.713 -5.072 2.639
In -0.644 -1.203 0.626
Sr -0.331 -4.592 0.222
Pt 1.347 -1.454 -1.411

=====

No. 2
6
Lattice="2.742 0.000 0.000 0.000 4.327 0.000 -1.371 0.000 6.979" Properties=species:S:1:pos:R:3 comment="ZnTc5 | Alexandria | SCAN | single point on PBEsol structure" relative_energy_kj_per_mol_atoms=1.3 m_tot_mub_per_cell=0.00 space_group="Amm2, No. 38" e_form_mev_per_atom=3 pbc="T T T"
Tc 1.371 0.000 6.967
Tc 0.000 2.163 3.107
Tc 0.000 0.000 4.658
Tc 1.371 2.163 0.813
Tc 1.371 0.000 2.300
Zn 1.371 2.163 5.418

=====

No. 3
8
Lattice="5.232 0.000 0.000 2.616 4.531 0.000 2.616 1.510 4.682" Properties=species:S:1:pos:R:3 comment="FeSnF6 | Alexandria | SCAN | single point on PBEsol structure" m_tot_mub_per_cell=4.05 space_group="R-3, No. 148" e_form_raw_ev_per_atom=-2.4687 pbc="T T T"
F 4.254 1.714 3.517
Sn 0.000 0.000 0.000
F 3.611 3.214 1.165
F 6.210 4.328 1.165
F 6.853 2.827 3.517
F 5.875 1.520 1.165
Fe 5.232 3.021 2.341
F 4.589 4.521 3.517

=====

No. 4
36
Lattice="8.297 -0.013 -0.009 3.906 7.320 -0.009 3.906 2.339 6.936" Properties=species:S:1:pos:R:3 comment="Fe2CoP3O12 | Alexandria | SCAN | single point on PBEsol structure" m_tot_mub_per_cell=26.71 space_group="R-3c, No. 167" e_form_raw_ev_per_atom=-2.0233 pbc="T T T"
O 9.236 1.436 4.243
O 7.375 8.645 5.176
Fe 13.802 8.264 5.927
O 11.102 5.678 0.631
P 6.878 5.590 0.304
O 5.869 2.627 0.775
O 6.099 4.622 4.108
O 5.007 3.968 6.286
O 10.010 5.024 2.809
Co 8.055 4.823 3.459
O 5.087 1.996 3.477
O 9.156 4.730 5.210
P 5.083 5.080 5.197
Fe 2.308 1.382 0.991
O 7.800 3.620 6.918
P 8.176 1.386 3.145
O 11.948 5.217 4.678
O 10.241 7.019 6.143
O 10.248 2.877 6.528
O 4.161 4.429 2.240
O 11.022 7.650 3.441
Fe 10.363 6.205 4.450
O 7.617 2.839 3.060
P 9.231 4.055 6.613
Fe 5.747 3.441 2.468
P 11.027 4.565 1.720
O 8.493 6.807 3.858
Co 0.000 0.000 0.000
O 5.627 6.413 5.708
P 7.934 8.260 3.773
O 5.862 6.769 0.390
O 8.310 6.026 -0.001
O 8.735 1.001 1.742
O 6.874 8.210 2.675
O 10.483 3.233 1.210
O 6.954 4.916 1.708

=====

No. 5
5
Lattice="-4.094 1.132 -1.030 0.913 -0.555 -4.238 -1.228 -4.185 0.284" Properties=species:S:1:pos:R:3 comment="ZnCoTc3 | Alexandria | SCAN | single point on PBEsol structure" m_tot_mub_per_cell=1.94 space_group="Pm-3m, No. 221" e_form_mev_per_atom=2011 pbc="T T T"
Zn 0.000 0.000 0.000
Tc -2.047 0.566 -0.515
Tc -0.614 -2.092 0.142
Co -2.204 -1.804 -2.492
Tc 0.457 -0.278 -2.119

=====

No. 6
56
Lattice="-2.677 0.538 5.497 1.089 -10.579 1.567 11.651 2.011 5.476" Properties=species:S:1:pos:R:3 comment="Ca7GeN6 | Alexandria | SCAN | single point on PBEsol structure" m_tot_mub_per_cell=0.00 space_group="Pbcn, No. 60" e_form_raw_ev_per_atom=-0.9982 pbc="T T T"
Ge 2.732 0.539 1.741
N 2.846 -8.849 8.342
Ca 7.763 -7.123 5.210
Ca -0.168 -7.705 6.794
Ca 8.992 -1.027 8.639
N 3.749 -4.885 4.967
N 8.974 -2.150 6.308
Ca 3.298 -4.755 2.479
N 2.683 -8.623 3.850
N 10.751 -8.262 6.809
Ca 10.231 -0.325 5.746
Ca 7.559 1.745 6.529
N 1.821 -2.888 6.296
Ca 6.324 -5.882 7.815
N -1.994 -3.029 5.535
N 4.485 -0.424 6.296
N 7.159 -7.347 9.360
Ca 3.739 -2.147 4.725
Ca 8.722 -5.930 10.684
N 12.057 -5.001 7.005
Ca 4.016 -3.511 7.567
N 7.217 0.820 4.198
N 1.089 -5.880 6.233
N 6.005 -2.461 3.809
Ca 0.046 -2.253 4.668
Ge 1.938 -4.481 5.273
Ca 6.765 -3.275 10.061
N 8.977 -3.760 8.931
Ca -1.216 -5.235 5.188
N 1.086 -4.270 3.610
Ca 6.650 -1.404 5.805
N 7.380 0.594 8.690
N 5.578 -7.606 6.244
Ca 6.047 -4.519 4.973
Ge 8.125 -3.549 7.268
Ca 5.170 -8.733 8.386
Ca 9.479 1.957 9.437
Ca 4.893 0.703 4.155
Ca 4.795 -7.317 4.049
Ca 5.268 -0.713 8.491
N 2.904 -0.683 3.181
N 10.900 -6.499 10.015
N 6.314 -3.145 7.574
Ca 1.071 -7.003 3.902
Ca 10.017 -5.777 7.873
Ca 0.584 -9.987 3.104
Ca 2.300 -0.907 7.330
Ca 3.413 -6.625 6.735
Ca 1.415 0.804 4.445
N -0.837 -1.531 2.525
N 8.242 -5.141 6.245
Ge 6.242 2.010 9.233
N 4.058 -5.569 8.731
Ca 11.279 -2.795 7.352
Ca 1.341 -2.100 1.856
N -0.688 0.233 5.732

=====

No. 7
5
Lattice="4.974 0.000 0.000 0.000 4.974 0.000 0.000 0.000 5.253" Properties=species:S:1:pos:R:3 comment="NaTaMoAu2 | Alexandria | SCAN | single point on PBEsol structure" m_tot_mub_per_cell=3.23 space_group="P4/mmm, No. 123" e_form_mev_per_atom=1577 pbc="T T T"
Ta 0.000 0.000 0.000
Mo 2.487 2.487 2.627
Au 2.487 0.000 0.000
Au 0.000 2.487 0.000
Na 0.000 0.000 2.627

=====

No. 8
6
Lattice="-1.729 1.139 5.334 3.691 -0.411 4.353 1.832 4.726 2.653" Properties=species:S:1:pos:R:3 comment="Li4LaMg | Alexandria | SCAN | single point on PBEsol structure" m_tot_mub_per_cell=0.00 space_group="F-43m, No. 216" e_form_mev_per_atom=-3 pbc="T T T"
Li 2.331 4.379 5.958
Li 1.431 2.057 4.654
Li 3.244 1.855 6.793
La 0.000 0.000 0.000
Mg 2.845 4.090 9.255
Li 0.581 2.616 7.275

=====

No. 9
4
Lattice="3.531 0.000 0.000 0.000 3.531 0.000 0.000 0.000 7.688" Properties=species:S:1:pos:R:3 comment="ZnPb2Se | Alexandria | SCAN | single point on PBEsol structure" relative_energy_kj_per_mol_atoms=17.9 m_tot_mub_per_cell=0.00 space_group="P4mm, No. 99" e_form_raw_ev_per_atom=0.0176 pbc="T T T"
Pb 0.000 0.000 7.390
Se 0.000 0.000 4.307
Pb 1.765 1.765 2.174
Zn 1.765 1.765 5.349

=====

No. 10
10
Lattice="-1.827 1.782 3.002 3.144 -3.888 4.221 4.872 4.353 0.381" Properties=species:S:1:pos:R:3 comment="Mg2ZnPt2 | Alexandria | SCAN | single point on PBEsol structure" m_tot_mub_per_cell=0.00 space_group="P4/mbm, No. 127" e_form_mev_per_atom=-757 pbc="T T T"
Mg 5.251 1.971 4.612
Pt 5.291 2.342 1.831
Zn 4.008 0.232 2.301
Zn 0.000 0.000 0.000
Pt 2.187 0.992 0.743
Pt 2.724 -1.878 2.772
Mg 2.814 3.142 2.434
Pt 5.828 -0.528 3.860
Mg 0.937 0.275 2.993
Mg 3.374 -0.896 5.171

=====

No. 11
4
Lattice="6.049 0.000 0.000 3.024 5.239 0.000 3.024 1.746 4.939" Properties=species:S:1:pos:R:3 comment="CsK2Ge | Alexandria | SCAN | single point on PBEsol structure" m_tot_mub_per_cell=1.00 space_group="Fm-3m, No. 225" e_form_mev_per_atom=89 pbc="T T T"
K 9.073 5.239 3.704
Cs 6.049 3.492 2.469
K 3.024 1.746 1.235
Ge 0.000 0.000 0.000

=====

No. 12
4
Lattice="-4.791 1.452 -0.835 -1.742 0.388 -4.751 -3.399 -3.345 -1.738" Properties=species:S:1:pos:R:3 comment="Lu2CdHg | Alexandria | SCAN | single point on PBEsol structure" m_tot_mub_per_cell=0.00 space_group="Fm-3m, No. 225" e_form_mev_per_atom=-550 pbc="T T T"
Lu -2.483 -0.376 -1.831
Cd -4.966 -0.752 -3.662
Lu -7.449 -1.128 -5.493
Hg 0.000 0.000 0.000

=====

No. 13
3
Lattice="-1.828 0.682 -1.764 -0.502 -3.433 -0.806 -1.561 1.133 4.016" Properties=species:S:1:pos:R:3 comment="Ni2Pt | Alexandria | SCAN | single point on PBEsol structure" m_tot_mub_per_cell=2.07 space_group="Immm, No. 71" e_form_mev_per_atom=-117 pbc="T T T"
Ni -2.094 -1.458 -0.354
Ni -1.797 -0.160 1.800
Pt 0.000 0.000 0.000

=====

No. 14
4
Lattice="-1.554 2.650 -1.672 -0.716 -2.118 -2.690 -3.519 -0.984 1.711" Properties=species:S:1:pos:R:3 comment="TcNi2Cl | Alexandria | SCAN | single point on PBEsol structure" relative_energy_kj_per_mol_atoms=65.5 m_tot_mub_per_cell=3.15 space_group="P4/mmm, No. 123" e_form_raw_ev_per_atom=0.9164 pbc="T T T"
Tc -2.894 -0.226 -1.326
Cl -1.760 -0.492 0.855
Ni -0.358 -1.059 -1.345
Ni -0.777 1.325 -0.836

=====

No. 15
4
Lattice="2.966 0.000 -0.016 0.000 3.486 0.000 -1.489 0.000 5.812" Properties=species:S:1:pos:R:3 comment="CdPRh2 | Alexandria | SCAN | single point on PBEsol structure" relative_energy_kj_per_mol_atoms=0.0 m_tot_mub_per_cell=0.00 space_group="P2/m, No. 10" e_form_mev_per_atom=-322 pbc="T T T"
P -0.745 1.743 2.906
Rh 1.496 0.000 4.104
Cd 1.483 1.743 -0.008
Rh -0.019 0.000 1.692

=====

No. 16
4
Lattice="-1.682 -2.253 0.627 1.006 -2.681 -0.319 2.655 -1.531 8.232" Properties=species:S:1:pos:R:3 comment="SbOs3 | Alexandria | SCAN | single point on PBEsol structure" m_tot_mub_per_cell=0.00 space_group="R-3m, No. 166" e_form_raw_ev_per_atom=0.6714 pbc="T T T"
Os 1.467 -4.850 6.358
Sb 0.000 0.000 0.000
Os 0.512 -1.616 2.183
Os 0.990 -3.233 4.270

=====

No. 17
5
Lattice="-1.288 3.491 -2.341 -0.189 -2.494 -3.616 -4.199 -0.959 0.881" Properties=species:S:1:pos:R:3 comment="CaScB3 | Alexandria | SCAN | single point on PBEsol structure" m_tot_mub_per_cell=1.38 space_group="Pm-3m, No. 221" e_form_mev_per_atom=1251 pbc="T T T"
Ca -2.838 0.019 -2.538
Sc 0.000 0.000 0.000
B -0.644 1.746 -1.170
B -0.095 -1.247 -1.808
B -2.099 -0.479 0.441

=====

No. 18
5
Lattice="5.688 0.000 0.000 0.000 5.688 0.000 0.000 0.000 5.688" Properties=species:S:1:pos:R:3 comment="RbAg3I | Alexandria | SCAN | single point on PBEsol structure" m_tot_mub_per_cell=0.97 space_group="Pm-3m, No. 221" e_form_raw_ev_per_atom=1.1440 pbc="T T T"
Ag 2.844 0.000 0.000
I 2.844 2.844 2.844
Ag 0.000 0.000 2.844
Ag 0.000 2.844 0.000
Rb 0.000 0.000 0.000

=====

No. 19
5
Lattice="3.974 0.000 0.000 0.000 4.088 0.000 0.000 0.000 4.088" Properties=species:S:1:pos:R:3 comment="NbSiN2F | Alexandria | SCAN | single point on PBEsol structure" m_tot_mub_per_cell=0.00 space_group="P4/mmm, No. 123" e_form_raw_ev_per_atom=-0.2018 pbc="T T T"
Nb 0.000 0.000 0.000
Si 1.987 2.044 2.044
N 0.000 2.044 0.000
N 0.000 0.000 2.044
F 1.987 0.000 0.000

=====

No. 20
4
Lattice="-0.345 0.635 -3.987 0.055 -4.435 1.348 -3.583 -1.892 0.009" Properties=species:S:1:pos:R:3 comment="LiAg2Rh | Alexandria | SCAN | single point on PBEsol structure" m_tot_mub_per_cell=0.00 space_group="I4/mmm, No. 139" e_form_mev_per_atom=55 pbc="T T T"
Ag -2.918 -3.161 -2.310
Rh 0.000 0.000 0.000
Li -1.964 -0.629 -1.989
Ag -0.954 -2.532 -0.321

=====

No. 21
32
Lattice="-5.430 -5.816 -2.639 6.939 -5.459 -2.247 -0.231 -5.276 12.104" Properties=species:S:1:pos:R:3 comment="K2PrBr5 | Alexandria | SCAN | single point on PBEsol structure" m_tot_mub_per_cell=0.00 space_group="Pnma, No. 62" e_form_raw_ev_per_atom=-2.0860 pbc="T T T"
Br -1.722 -5.995 0.012
Br 2.737 -7.019 5.317
K 3.002 -7.454 8.731
Br 2.005 -10.001 2.785
Br -0.727 -6.550 4.433
Br 4.805 -7.535 -2.073
Br -0.272 -7.491 8.128
Br -0.086 -14.754 7.878
K 4.424 -9.736 0.559
Br -0.704 -11.237 8.377
Br 1.982 -5.314 -1.159
K -3.147 -6.814 6.659
Br 4.432 -6.508 1.795
Br 0.775 -3.856 2.528
K -1.725 -9.097 -1.513
Br -3.154 -10.043 5.424
Br 1.549 -9.060 -0.909
K 1.022 -7.060 1.661
Br -1.460 -9.531 1.902
Pr 1.825 -12.704 8.800
Br 5.560 -9.240 4.403
Br 3.000 -10.556 7.207
Pr 0.094 -12.045 1.851
K 6.404 -10.130 7.630
Br -3.527 -9.016 9.291
Br 1.363 -1.797 -0.659
Pr -0.548 -3.846 -1.582
Br -4.282 -7.311 2.816
Br 0.502 -12.695 4.691
Pr 1.183 -4.506 5.368
K -5.126 -6.421 -0.411
K 0.255 -9.491 5.558

=====

No. 22
4
Lattice="2.646 0.000 0.000 -1.323 2.291 0.000 0.000 0.000 8.331" Properties=species:S:1:pos:R:3 comment="CuRu | Alexandria | SCAN | single point on PBEsol structure" m_tot_mub_per_cell=0.00 space_group="P-3m1, No. 164" e_form_mev_per_atom=152 pbc="T T T"
Ru 1.323 0.764 5.186
Cu 0.000 1.528 7.334
Cu 1.323 0.764 0.998
Ru 0.000 1.528 3.145

=====

No. 23
5
Lattice="-2.797 4.552 -0.700 -1.464 -1.799 -5.851 -5.176 -2.847 2.171" Properties=species:S:1:pos:R:3 comment="Rb2TaNbIn | Alexandria | SCAN | single point on PBEsol structure" m_tot_mub_per_cell=8.00 space_group="P4/mmm, No. 123" e_form_mev_per_atom=2036 pbc="T T T"
Rb -0.732 -0.900 -2.925
Ta 0.000 0.000 0.000
In -1.398 2.276 -0.350
Nb -4.719 -0.047 -2.190
Rb -2.588 -1.423 1.085